(w)
First-principles (PBE-GGA) data for crystalline Sm8YTm2 at its relaxed geometry, as listed in Alexandria via LeMat-Bulk.

Output
**Symmetry**: C2/m (12)
**Density**: 7.2 Mg/m³

a = 7.880 Å, b = 7.880 Å, c = 8.559 Å
α = 111.89°, β = 111.89°, γ = 50.51°
Positions (direct):
Sm (0.108, 0.108, 0.993)
Sm (0.150, 0.666, 0.616)
Sm (0.241, 0.241, 0.775)
Sm (0.334, 0.850, 0.384)
Sm (0.666, 0.150, 0.616)
Sm (0.759, 0.759, 0.225)
Sm (0.850, 0.334, 0.384)
Sm (0.892, 0.892, 0.007)
Y (0.500, 0.500, 0.000)
Tm (0.356, 0.356, 0.241)
Tm (0.644, 0.644, 0.759)

***

(x)
First-principles (PBE-GGA) data for crystalline Sm8YTm2 at its relaxed geometry, as listed in Alexandria via LeMat-Bulk.

Output
**Symmetry**: C2/m (12)
**Density**: 7.3 Mg/m³

a = 9.016 Å, b = 9.016 Å, c = 6.664 Å
α = 99.19°, β = 99.19°, γ = 43.84°
Positions (direct):
Sm (0.093, 0.093, 0.911)
Sm (0.150, 0.674, 0.593)
Sm (0.256, 0.256, 0.682)
Sm (0.326, 0.850, 0.407)
Sm (0.674, 0.150, 0.593)
Sm (0.744, 0.744, 0.318)
Sm (0.850, 0.326, 0.407)
Sm (0.907, 0.907, 0.089)
Y (0.500, 0.500, 0.000)
Tm (0.300, 0.300, 0.195)
Tm (0.700, 0.700, 0.805)

***

So which one is most stable? That would be (x), about 43 meV/atom below the next structure.

***

(w)
First-principles (PBE-GGA) data for crystalline Sm4Y5Tm at its relaxed geometry, as listed in Alexandria via LeMat-Bulk.

Output
**Symmetry**: C2/m (12)
**Density**: 5.9 Mg/m³

a = 8.843 Å, b = 8.843 Å, c = 11.065 Å
α = 90.22°, β = 90.22°, γ = 23.13°
Positions (direct):
Sm (0.028, 0.028, 0.248)
Sm (0.347, 0.347, 0.250)
Sm (0.653, 0.653, 0.750)
Sm (0.972, 0.972, 0.752)
Y (0.173, 0.173, 0.056)
Y (0.175, 0.175, 0.441)
Y (0.500, 0.500, 0.500)
Y (0.825, 0.825, 0.559)
Y (0.827, 0.827, 0.944)
Tm (0.500, 0.500, 0.000)

***

(x)
First-principles (PBE-GGA) data for crystalline Sm4Y5Tm at its relaxed geometry, as listed in Alexandria via LeMat-Bulk.

Output
**Symmetry**: I4mm (107)
**Density**: 5.9 Mg/m³

a = 8.116 Å, b = 8.116 Å, c = 8.116 Å
α = 97.74°, β = 97.74°, γ = 136.93°
Positions (direct):
Sm (0.000, 0.324, 0.324)
Sm (0.000, 0.676, 0.676)
Sm (0.324, 0.000, 0.324)
Sm (0.676, 0.000, 0.676)
Y (0.238, 0.238, 0.000)
Y (0.321, 0.321, 0.622)
Y (0.321, 0.699, 0.000)
Y (0.699, 0.321, 0.000)
Y (0.699, 0.699, 0.378)
Tm (0.765, 0.765, 0.000)

***

So which one is most stable? That would be (w), about 66 meV/atom below the next structure.

***

(w)
First-principles (PBE-GGA) data for crystalline Sm3Y7Tm at its relaxed geometry, as listed in Alexandria via LeMat-Bulk.

Output
**Symmetry**: P3m1 (156)
**Density**: 5.5 Mg/m³

a = 7.102 Å, b = 7.102 Å, c = 8.648 Å
α = 90.00°, β = 90.00°, γ = 120.00°
Positions (direct):
Sm (0.001, 0.500, 0.000)
Sm (0.500, 0.500, 0.000)
Sm (0.500, 0.999, 0.000)
Y (0.168, 0.336, 0.663)
Y (0.168, 0.832, 0.663)
Y (0.335, 0.167, 0.334)
Y (0.664, 0.832, 0.663)
Y (0.667, 0.333, 0.663)
Y (0.833, 0.167, 0.334)
Y (0.833, 0.665, 0.334)
Tm (0.333, 0.667, 0.336)

***

(x)
First-principles (PBE-GGA) data for crystalline Sm3Y7Tm at its relaxed geometry, as listed in Alexandria via LeMat-Bulk.

Output
**Symmetry**: P2/m (10)
**Density**: 5.6 Mg/m³

a = 6.912 Å, b = 5.540 Å, c = 10.049 Å
α = 90.00°, β = 108.25°, γ = 90.00°
Positions (direct):
Sm (0.000, 0.000, 0.000)
Sm (0.278, 0.500, 0.493)
Sm (0.722, 0.500, 0.507)
Y (0.000, 0.000, 0.500)
Y (0.153, 0.500, 0.788)
Y (0.317, 0.500, 0.133)
Y (0.431, 0.000, 0.329)
Y (0.569, 0.000, 0.671)
Y (0.683, 0.500, 0.867)
Y (0.847, 0.500, 0.212)
Tm (0.500, 0.000, 0.000)

***

So which one is most stable? That would be (x), about 42 meV/atom below the next structure.

***

(w)
First-principles (PBE-GGA) data for crystalline Sm2Y7Tm2 at its relaxed geometry, as listed in Alexandria via LeMat-Bulk.

Output
**Symmetry**: C2/m (12)
**Density**: 5.8 Mg/m³

a = 8.057 Å, b = 8.057 Å, c = 6.058 Å
α = 105.73°, β = 105.73°, γ = 92.49°
Positions (direct):
Sm (0.211, 0.789, 0.000)
Sm (0.789, 0.211, 0.000)
Y (0.000, 0.000, 0.500)
Y (0.065, 0.588, 0.322)
Y (0.409, 0.409, 0.694)
Y (0.412, 0.935, 0.678)
Y (0.588, 0.065, 0.322)
Y (0.591, 0.591, 0.306)
Y (0.935, 0.412, 0.678)
Tm (0.232, 0.232, 0.083)
Tm (0.768, 0.768, 0.917)

***

(x)
First-principles (PBE-GGA) data for crystalline Sm2Y7Tm2 at its relaxed geometry, as listed in Alexandria via LeMat-Bulk.

Output
**Symmetry**: C2/m (12)
**Density**: 5.8 Mg/m³

a = 6.530 Å, b = 6.530 Å, c = 8.676 Å
α = 98.31°, β = 98.31°, γ = 93.17°
Positions (direct):
Sm (0.178, 0.822, 0.000)
Sm (0.822, 0.178, 0.000)
Y (0.052, 0.418, 0.705)
Y (0.348, 0.348, 0.093)
Y (0.418, 0.052, 0.705)
Y (0.500, 0.500, 0.500)
Y (0.582, 0.948, 0.295)
Y (0.652, 0.652, 0.907)
Y (0.948, 0.582, 0.295)
Tm (0.105, 0.105, 0.354)
Tm (0.895, 0.895, 0.646)

***

So which one is most stable? That would be (x), about 55 meV/atom below the next structure.

***

(w)
First-principles (PBE-GGA) data for crystalline Sm6YTm at its relaxed geometry, as listed in Alexandria via LeMat-Bulk.

Output
**Symmetry**: P4/mmm (123)
**Density**: 7.3 Mg/m³

a = 5.097 Å, b = 5.097 Å, c = 10.185 Å
α = 90.00°, β = 90.00°, γ = 90.00°
Positions (direct):
Sm (0.000, 0.000, 0.000)
Sm (0.000, 0.000, 0.500)
Sm (0.000, 0.500, 0.248)
Sm (0.000, 0.500, 0.752)
Sm (0.500, 0.000, 0.248)
Sm (0.500, 0.000, 0.752)
Y (0.500, 0.500, 0.500)
Tm (0.500, 0.500, 0.000)

***

(x)
First-principles (PBE-GGA) data for crystalline Sm6YTm at its relaxed geometry, as listed in Alexandria via LeMat-Bulk.

Output
**Symmetry**: P-1 (2)
**Density**: 7.2 Mg/m³

a = 6.573 Å, b = 6.834 Å, c = 6.972 Å
α = 118.86°, β = 101.30°, γ = 90.55°
Positions (direct):
Sm (0.229, 0.402, 0.470)
Sm (0.249, 0.947, 0.999)
Sm (0.267, 0.927, 0.522)
Sm (0.733, 0.073, 0.478)
Sm (0.751, 0.053, 0.001)
Sm (0.771, 0.598, 0.530)
Y (0.500, 0.500, 0.000)
Tm (0.000, 0.500, 0.000)

***

So which one is most stable? That would be (w), about 168 meV/atom below the next structure.

***

(w)
First-principles (PBE-GGA) data for crystalline Sm5YTm4 at its relaxed geometry, as listed in Alexandria via LeMat-Bulk.

Output
**Symmetry**: P1 (1)
**Density**: 7.9 Mg/m³

a = 5.036 Å, b = 7.138 Å, c = 9.433 Å
α = 100.60°, β = 105.47°, γ = 90.15°
Positions (direct):
Sm (0.000, 0.000, 0.000)
Sm (0.198, 0.599, 0.396)
Sm (0.398, 0.200, 0.795)
Sm (0.599, 0.300, 0.198)
Sm (0.797, 0.899, 0.594)
Y (0.399, 0.699, 0.798)
Tm (0.199, 0.100, 0.397)
Tm (0.598, 0.798, 0.196)
Tm (0.799, 0.400, 0.597)
Tm (0.998, 0.499, 0.996)

***

(x)
First-principles (PBE-GGA) data for crystalline Sm5YTm4 at its relaxed geometry, as listed in Alexandria via LeMat-Bulk.

Output
**Symmetry**: I4 (79)
**Density**: 7.7 Mg/m³

a = 7.874 Å, b = 7.874 Å, c = 7.874 Å
α = 99.23°, β = 99.23°, γ = 132.79°
Positions (direct):
Sm (0.000, 0.000, 0.000)
Sm (0.498, 0.587, 0.619)
Sm (0.587, 0.968, 0.089)
Sm (0.879, 0.498, 0.911)
Sm (0.968, 0.879, 0.381)
Y (0.458, 0.458, 0.000)
Tm (0.184, 0.582, 0.299)
Tm (0.283, 0.886, 0.701)
Tm (0.582, 0.283, 0.397)
Tm (0.886, 0.184, 0.603)

***

So which one is most stable? That would be (w), about 286 meV/atom below the next structure.

***

(w)
First-principles (PBE-GGA) data for crystalline SmY4Tm3 at its relaxed geometry, as listed in Alexandria via LeMat-Bulk.

Output
**Symmetry**: Pmmm (47)
**Density**: 6.7 Mg/m³

a = 3.553 Å, b = 7.084 Å, c = 10.024 Å
α = 90.00°, β = 90.00°, γ = 90.00°
Positions (direct):
Sm (0.000, 0.000, 0.000)
Y (0.500, 0.251, 0.252)
Y (0.500, 0.251, 0.748)
Y (0.500, 0.749, 0.252)
Y (0.500, 0.749, 0.748)
Tm (0.000, 0.000, 0.500)
Tm (0.000, 0.500, 0.000)
Tm (0.000, 0.500, 0.500)

***

(x)
First-principles (PBE-GGA) data for crystalline SmY4Tm3 at its relaxed geometry, as listed in Alexandria via LeMat-Bulk.

Output
**Symmetry**: Pmn2_1 (31)
**Density**: 6.6 Mg/m³

a = 11.234 Å, b = 7.263 Å, c = 6.270 Å
α = 90.00°, β = 90.00°, γ = 90.00°
Positions (direct):
Sm (0.000, 0.123, 0.000)
Sm (0.500, 0.877, 0.500)
Y (0.000, 0.373, 0.497)
Y (0.000, 0.627, 0.995)
Y (0.248, 0.626, 0.333)
Y (0.252, 0.374, 0.833)
Y (0.500, 0.373, 0.495)
Y (0.500, 0.627, 0.997)
Y (0.748, 0.374, 0.833)
Y (0.752, 0.626, 0.333)
Tm (0.000, 0.877, 0.499)
Tm (0.250, 0.123, 0.330)
Tm (0.250, 0.877, 0.830)
Tm (0.500, 0.123, 0.999)
Tm (0.750, 0.123, 0.330)
Tm (0.750, 0.877, 0.830)

***

So which one is most stable? That would be (x), about 26 meV/atom below the next structure.

***

(w)
First-principles (PBE-GGA) data for crystalline Sm7Y2Tm2 at its relaxed geometry, as listed in Alexandria via LeMat-Bulk.

Output
**Symmetry**: Imm2 (44)
**Density**: 7.1 Mg/m³

a = 9.421 Å, b = 9.421 Å, c = 9.421 Å
α = 145.31°, β = 63.37°, γ = 128.76°
Positions (direct):
Sm (0.000, 0.000, 0.000)
Sm (0.133, 0.499, 0.634)
Sm (0.275, 0.907, 0.368)
Sm (0.540, 0.907, 0.632)
Sm (0.541, 0.704, 0.837)
Sm (0.866, 0.499, 0.366)
Sm (0.868, 0.704, 0.163)
Y (0.002, 0.204, 0.798)
Y (0.405, 0.204, 0.202)
Tm (0.417, 0.417, 0.000)
Tm (0.703, 0.203, 0.500)

***

(x)
First-principles (PBE-GGA) data for crystalline Sm7Y2Tm2 at its relaxed geometry, as listed in Alexandria via LeMat-Bulk.

Output
**Symmetry**: Cmmm (65)
**Density**: 6.8 Mg/m³

a = 6.867 Å, b = 6.867 Å, c = 9.606 Å
α = 90.00°, β = 90.00°, γ = 122.40°
Positions (direct):
Sm (0.000, 0.000, 0.000)
Sm (0.000, 0.500, 0.314)
Sm (0.000, 0.500, 0.686)
Sm (0.500, 0.000, 0.314)
Sm (0.500, 0.000, 0.686)
Sm (0.500, 0.500, 0.182)
Sm (0.500, 0.500, 0.818)
Y (0.250, 0.250, 0.500)
Y (0.750, 0.750, 0.500)
Tm (0.270, 0.730, 0.000)
Tm (0.730, 0.270, 0.000)

***

So which one is most stable? That would be (w), about 236 meV/atom below the next structure.